Record 1
PmGe2Mo2C | PBE | optimized geometry

Calculated values
As for the space group: P4/mmm, No. 123. The calculation puts the formation energy at -35.5 kJ/mol of atoms.

abc: 4.249 4.249 5.585
angles: 90.00 90.00 90.00
Element x y z (fractional)
Pm: 0.000 0.000 0.500
C: 0.000 0.000 0.000
Ge: 0.500 0.500 0.720
Ge: 0.500 0.500 0.280
Mo: 0.500 0.000 0.000
Mo: 0.000 0.500 0.000

=====

Record 2
PmGeMo2C | PBE | optimized geometry

Calculated values
As for the space group: Cmcm, No. 63. The calculation puts the formation energy at -11.8 kJ/mol of atoms.

abc: 5.795 5.703 6.331
angles: 116.77 90.00 90.00
Element x y z (fractional)
C: 0.250 0.991 0.983
Mo: 0.000 0.252 0.000
Pm: 0.250 0.250 0.499
Mo: 0.000 0.748 0.000
Ge: 0.250 0.655 0.310
Mo: 0.500 0.252 0.000
C: 0.750 0.009 0.017
Ge: 0.750 0.345 0.690
Mo: 0.500 0.748 0.000
Pm: 0.750 0.750 0.501

=====

Record 3
GeMoRhC2 | PBE | optimized geometry

Calculated values
As for the space group: P4/mmm, No. 123. The calculation puts the formation energy at 152.2 kJ/mol of atoms.

abc: 3.936 5.284 3.936
angles: 90.00 90.00 90.00
Element x y z (fractional)
C: 0.000 0.000 0.500
Ge: 0.500 0.500 0.500
Rh: 0.000 0.500 0.000
C: 0.500 0.000 0.000
Mo: 0.000 0.000 0.000

=====

Record 4
Ge3CN | PBE | optimized geometry

Calculated values
The energy above the lowest structure with this stoichiometry comes out at 0.0 meV/atom. As for the space group: Pm-3m, No. 221.

abc: 4.249 4.249 4.249
angles: 90.00 90.00 90.00
Element x y z (fractional)
Ge: 0.000 0.000 0.500
Ge: 0.000 0.500 0.000
C: 0.000 0.000 0.000
N: 0.500 0.500 0.500
Ge: 0.500 0.000 0.000

=====

Record 5
GeC3N | PBE | optimized geometry

Calculated values
The energy above the lowest structure with this stoichiometry comes out at 0.0 meV/atom. As for the space group: Pm-3m, No. 221.

abc: 3.544 3.544 3.544
angles: 90.00 90.00 90.00
Element x y z (fractional)
C: 0.000 0.000 0.500
N: 0.000 0.000 0.000
C: 0.000 0.500 0.000
Ge: 0.500 0.500 0.500
C: 0.500 0.000 0.000

=====

Record 6
GeC2N | PBE | optimized geometry

Calculated values
The energy above the lowest structure with this stoichiometry comes out at 0.0 meV/atom. As for the space group: I-42d, No. 122.

abc: 4.185 4.185 5.188
angles: 66.21 66.21 90.00
Element x y z (fractional)
N: 0.500 0.500 0.000
C: 0.875 0.819 0.750
N: 0.250 0.750 0.500
C: 0.181 0.625 0.250
C: 0.375 0.431 0.750
Ge: 0.750 0.250 0.500
C: 0.569 0.125 0.250
Ge: 0.000 0.000 0.000

=====

Record 7
GeCN3 | PBE | optimized geometry

Calculated values
As for the space group: Pm-3m, No. 221. The total energy comes out at -4.88 eV/atom.

abc: 3.790 3.790 3.790
angles: 90.00 90.00 90.00
Element x y z (fractional)
C: 0.500 0.500 0.500
Ge: 0.000 0.000 0.000
N: 0.500 0.000 0.000
N: 0.000 0.500 0.000
N: 0.000 0.000 0.500

=====

Record 8
GeCN2 | PBE | optimized geometry

Calculated values
The energy above the lowest structure with this stoichiometry comes out at 0.0 meV/atom. As for the space group: Pnma, No. 62.

abc: 5.149 6.348 8.737
angles: 90.00 90.00 90.00
Element x y z (fractional)
Ge: 0.250 0.377 0.368
N: 0.989 0.684 0.209
N: 0.489 0.316 0.791
N: 0.511 0.184 0.291
C: 0.750 0.694 0.205
N: 0.011 0.816 0.709
N: 0.011 0.316 0.791
Ge: 0.750 0.123 0.868
Ge: 0.250 0.877 0.132
N: 0.511 0.684 0.209
C: 0.250 0.806 0.705
C: 0.750 0.194 0.295
Ge: 0.750 0.623 0.632
N: 0.489 0.816 0.709
C: 0.250 0.306 0.795
N: 0.989 0.184 0.291

=====

Number 1: volume 100.8 Å³/f.u.. Number 2: volume 93.4 Å³/f.u.. Number 3: volume 81.9 Å³/f.u.. Number 4: volume 76.7 Å³/f.u.. Number 5: volume 44.5 Å³/f.u.. Number 6: volume 37.3 Å³/f.u.. Number 7: volume 54.4 Å³/f.u.. Number 8: volume 71.4 Å³/f.u..